Computed, not measured: a relaxed ZrInRhAu crystal at the PBE level of DFT.

Unit cell a=4.7258 b=4.7258 c=4.7258 alpha=60.00 beta=60.00 gamma=60.00
Fractional positions:
Zr: 0.0000 0.0000 0.0000
In: 0.5000 0.5000 0.5000
Rh: 0.7500 0.7500 0.7500
Au: 0.2500 0.2500 0.2500

## Properties
- E_form: -505 meV/atom
- Space group: F-43m (216)
- Calculated total energy: -5.98 eV per atom
- V: 75 Å³/cell